The following is a DFT calculation (PBE+U) of crystalline Sr2VB2O6 at its relaxed geometry.

Output
symmetry: R-3m
magnetic moment: 3.00 μB/f.u.
total DFT energy (no corrections): -7.49 eV per atom

abc: 6.3489 6.3489 6.3489
angles: 48.92 48.92 48.92
With the nearest neighbours (Å) after each atom.
Fractional positions:
Sr1 0.2183 0.2183 0.2183  9 O 2.68-2.78
Sr2 0.7817 0.7817 0.7817  9 O 2.68-2.78
V1 0.0000 0.0000 0.0000  6 O 2.17
B1 0.4168 0.4168 0.4168  3 O 1.39
B2 0.5832 0.5832 0.5832  3 O 1.39
O1 0.2652 0.2652 0.7227  1 B 1.39
O2 0.2652 0.7227 0.2652  1 B 1.39
O3 0.2773 0.7348 0.7348  1 B 1.39
O4 0.7227 0.2652 0.2652  1 B 1.39
O5 0.7348 0.2773 0.7348  1 B 1.39
O6 0.7348 0.7348 0.2773  1 B 1.39